1.
This record from OQMD via LeMat-Bulk describes a relaxed HfPd crystal. The functional is PBE-GGA.

Cell and atoms, written as extended XYZ:
```
2
Lattice="3.076 0.000 0.000 -1.538 2.664 0.000 0.000 0.000 4.459" Properties=species:S:1:pos:R:3 pbc="T T T"
Hf 1.538 0.888 3.344
Pd 0.000 1.776 1.115
```

Calculated values
Density in Mg/m³: 12.951
Calculated total energy in eV per atom: -7.95
Calculated volume in A^3/atom: 18.27
Energy of formation from the pure elements in eV per atom: -0.39

=====

2.
This record from OQMD via LeMat-Bulk describes a relaxed HfPd3 crystal. The functional is PBE-GGA.

Cell and atoms, written as extended XYZ:
```
4
Lattice="3.999 0.000 0.000 0.000 3.999 0.000 0.000 0.000 3.999" Properties=species:S:1:pos:R:3 pbc="T T T"
Hf 0.000 0.000 0.000
Pd 2.000 2.000 0.000
Pd 2.000 0.000 2.000
Pd 0.000 2.000 2.000
```

Calculated values
Density in Mg/m³: 12.924
Calculated total energy in eV per atom: -7.24
Calculated volume in A^3/atom: 15.99
Energy of formation from the pure elements in eV per atom: -0.87